The following is a DFT calculation (PBE-GGA) of a relaxed structure of Cr3C5.

DFT formation energy	5.701	eV/f.u.
raw total energy	-69.3	eV/f.u.
total magnetic moment	0.70	μB per formula unit
SG	No. 8
relative energy among the computed polymorphs	0.000	eV/atom

Cell lengths 5.4412, 5.4412, 5.2575 Å; angles 83.20, 83.20, 119.06 degrees
Last column: magnetic moment on the atom in μB.
Sites, in units of the cell vectors:
Cr1 0.1823 0.1701 0.0005  1.12
Cr2 0.6701 0.6823 0.0005  1.12
Cr3 0.2888 0.7888 0.2629  -0.20
Cr4 0.9107 0.4107 0.7779  0.31
Cr5 0.7519 0.9740 0.4612  -0.44
Cr6 0.4740 0.2519 0.4612  -0.44
C1 0.3290 0.8290 0.6474  0.02
C2 0.9133 0.4133 0.4102  0.01
C3 0.1056 0.1999 0.6371  -0.01
C4 0.8364 0.6451 0.3657  -0.01
C5 0.5532 0.2110 0.0784  -0.03
C6 0.2978 0.6375 0.9047  -0.03
C7 0.1451 0.3364 0.3657  -0.01
C8 0.6999 0.6056 0.6371  -0.01
C9 0.1375 0.7978 0.9047  -0.03
C10 0.7110 0.0532 0.0784  -0.03